[1]
The following is a GGA-PBE calculation of a relaxed TlTeSe crystal, from Alexandria via LeMat-Bulk.

Values from the calculation:
M_tot   0.00 μB per formula unit
Total energy   -34.27 eV per cell
V   32.70 A^3/atom

abc: 7.321 7.321 7.321
angles: 90.00 90.00 90.00
Fractional coordinates of all 12 atoms:
Tl 0.000 0.000 0.000
Tl 0.000 0.500 0.500
Tl 0.500 0.000 0.500
Tl 0.500 0.500 0.000
Te 0.250 0.250 0.250
Te 0.250 0.750 0.750
Te 0.750 0.250 0.750
Te 0.750 0.750 0.250
Se 0.000 0.000 0.500
Se 0.000 0.500 0.000
Se 0.500 0.000 0.000
Se 0.500 0.500 0.500

[2]
The following is a GGA-PBE calculation of a relaxed Tl4TeSe3 crystal, from Alexandria via LeMat-Bulk.

Values from the calculation:
M_tot   0.00 μB per formula unit
Total energy   -50.34 eV per cell
V   33.39 A^3/atom

abc: 7.234 7.234 13.678
angles: 107.50 107.50 52.38
Fractional coordinates of all 16 atoms:
Tl 0.023 0.578 0.121
Tl 0.071 0.929 0.500
Tl 0.405 0.549 0.806
Tl 0.455 0.898 0.186
Tl 0.549 0.405 0.306
Tl 0.578 0.023 0.621
Tl 0.898 0.455 0.686
Tl 0.929 0.071 0.000
Te 0.190 0.287 0.403
Te 0.287 0.190 0.903
Se 0.072 0.972 0.279
Se 0.405 0.505 0.027
Se 0.505 0.405 0.527
Se 0.701 0.775 0.903
Se 0.775 0.701 0.403
Se 0.972 0.072 0.779

[3]
The following is a GGA-PBE calculation of a relaxed TlTeSe2 crystal, from Alexandria via LeMat-Bulk.

Values from the calculation:
M_tot   0.00 μB per formula unit
Total energy   -26.13 eV per cell
V   32.07 A^3/atom

abc: 4.693 7.506 7.724
angles: 71.99 82.71 89.53
Fractional coordinates of all 8 atoms:
Tl 0.246 0.492 0.264
Tl 0.754 0.508 0.736
Te 0.299 0.030 0.757
Te 0.701 0.970 0.243
Se 0.248 0.220 0.981
Se 0.315 0.765 0.501
Se 0.685 0.235 0.499
Se 0.752 0.780 0.019

[4]
The following is a GGA-PBE calculation of a relaxed TlTeSe2 crystal, from Alexandria via LeMat-Bulk.

Values from the calculation:
M_tot   0.00 μB per formula unit
Total energy   -25.54 eV per cell
V   30.34 A^3/atom

abc: 4.033 6.455 9.323
angles: 90.00 90.00 90.00
Fractional coordinates of all 8 atoms:
Tl 0.000 0.000 0.000
Tl 0.500 0.500 0.500
Te 0.000 0.000 0.500
Te 0.500 0.500 0.000
Se 0.000 0.500 0.203
Se 0.000 0.500 0.797
Se 0.500 0.000 0.297
Se 0.500 0.000 0.703

[5]
The following is a GGA-PBE calculation of a relaxed Tl8TeSe5 crystal, from Alexandria via LeMat-Bulk.

Values from the calculation:
M_tot   0.00 μB per formula unit
Total energy   -42.75 eV per cell
V   38.42 A^3/atom

abc: 9.128 9.128 9.128
angles: 60.00 60.00 60.00
Fractional coordinates of all 14 atoms:
Tl 0.391 0.391 0.391
Tl 0.391 0.391 0.827
Tl 0.391 0.827 0.391
Tl 0.405 0.865 0.865
Tl 0.827 0.391 0.391
Tl 0.865 0.405 0.865
Tl 0.865 0.865 0.405
Tl 0.865 0.865 0.865
Te 0.250 0.250 0.250
Se 0.000 0.000 0.000
Se 0.126 0.625 0.625
Se 0.625 0.126 0.625
Se 0.625 0.625 0.126
Se 0.625 0.625 0.625

[6]
The following is a GGA-PBE calculation of a relaxed TlTeSe3 crystal, from Alexandria via LeMat-Bulk.

Values from the calculation:
M_tot   0.00 μB per formula unit
Total energy   -15.30 eV per cell
V   32.16 A^3/atom

abc: 5.438 5.438 5.438
angles: 90.00 90.00 90.00
Fractional coordinates of all 5 atoms:
Tl 0.000 0.000 0.000
Te 0.500 0.500 0.500
Se 0.000 0.500 0.500
Se 0.500 0.000 0.500
Se 0.500 0.500 0.000

[7]
The following is a GGA-PBE calculation of a relaxed Tl12TeSe5 crystal, from Alexandria via LeMat-Bulk.

Values from the calculation:
M_tot   0.00 μB per formula unit
Total energy   -55.31 eV per cell
V   35.67 A^3/atom

abc: 7.779 7.779 12.528
angles: 95.85 95.85 120.08
Fractional coordinates of all 18 atoms:
Tl 0.047 0.398 0.142
Tl 0.121 0.121 0.363
Tl 0.211 0.544 0.634
Tl 0.304 0.304 0.858
Tl 0.398 0.047 0.142
Tl 0.456 0.789 0.366
Tl 0.544 0.211 0.634
Tl 0.602 0.953 0.858
Tl 0.696 0.696 0.142
Tl 0.789 0.456 0.366
Tl 0.879 0.879 0.637
Tl 0.953 0.602 0.858
Te 0.000 0.000 0.000
Se 0.166 0.834 0.500
Se 0.333 0.667 0.000
Se 0.500 0.500 0.500
Se 0.667 0.333 0.000
Se 0.834 0.166 0.500

[8]
The following is a GGA-PBE calculation of a relaxed Tl2Te3Se6 crystal, from Alexandria via LeMat-Bulk.

Values from the calculation:
M_tot   0.00 μB per formula unit
Total energy   -36.08 eV per cell
V   32.61 A^3/atom

abc: 7.240 7.240 7.928
angles: 101.03 101.03 113.03
Fractional coordinates of all 11 atoms:
Tl 0.169 0.831 0.000
Tl 0.831 0.169 0.000
Te 0.000 0.000 0.500
Te 0.329 0.671 0.500
Te 0.671 0.329 0.500
Se 0.041 0.380 0.716
Se 0.251 0.251 0.304
Se 0.380 0.041 0.716
Se 0.620 0.959 0.284
Se 0.749 0.749 0.696
Se 0.959 0.620 0.284